1.
Entry from Alexandria: a relaxed structure of KRb2Pa3Te8 (GGA-PBE).

extended XYZ file:
```
14
Lattice="-2.087 6.526 -6.042 -2.622 -2.269 -8.451 -10.058 1.198 -2.138" Properties=species:S:1:pos:R:3 pbc="T T T"
K -8.176 4.167 -13.393
Rb -6.548 1.289 -3.251
Rb -7.406 2.727 -8.308
Pa -3.682 1.001 -11.459
Pa -3.415 5.380 -10.259
Pa -2.376 2.131 -7.251
Te -3.175 1.377 -4.322
Te -11.571 4.078 -12.316
Te -9.360 2.001 -5.226
Te -10.324 5.017 -8.018
Te -10.572 0.953 -9.131
Te -4.250 4.513 -7.469
Te -4.499 0.419 -8.591
Te -5.471 3.457 -11.403
```

Computed properties:
crystal system	trigonal
space-group type	No. 160
E	-4.951	eV/atom

***

2.
Entry from Alexandria: a relaxed structure of Rb2AgHg2 (GGA-PBE).

extended XYZ file:
```
10
Lattice="-4.826 -2.041 -0.008 -0.040 -6.639 1.725 -3.519 1.552 10.895" Properties=species:S:1:pos:R:3 pbc="T T T"
Rb -1.868 -2.315 1.754
Rb -4.789 -2.159 7.743
Rb -6.517 -4.812 10.857
Rb -3.596 -4.968 4.868
Ag -5.007 -1.628 3.966
Ag -3.378 -5.500 8.645
Hg -7.924 -1.481 9.799
Hg -2.323 -1.253 5.228
Hg -0.462 -5.646 2.812
Hg -6.062 -5.874 7.383
```

Computed properties:
crystal system	monoclinic
space-group type	No. 12
energy relative to the lowest polymorph listed for this composition	0.000	eV/atom
E	-1.237	eV/atom
formation energy from the elements	-15	kJ per mole of atoms